1.
DFT (GGA-PBE) results for a relaxed BaLi2Be crystal.

extended XYZ file:
```
4
Lattice="-4.212 3.703 3.089 -4.714 -0.766 4.265 -1.218 1.727 6.044" Properties=species:S:1:pos:R:3 pbc="T T T"
Li -3.138 1.443 4.145
Li -0.071 0.033 0.094
Be -6.988 3.213 9.230
Ba -5.018 2.307 6.628
```

Its density of states at the Fermi level is 0.781 states/eV per atom. The value obtained for the total moment is 0.00 μB/cell. The calculation puts the final energy at -8.3 eV per cell. Its energy of formation is 289 meV per atom.

***

2.
DFT (GGA-PBE) results for a relaxed BaLi2Be crystal.

extended XYZ file:
```
4
Lattice="-3.651 -2.980 -3.001 2.801 -4.589 -1.520 -0.619 2.209 5.094" Properties=species:S:1:pos:R:3 pbc="T T T"
Be -2.347 -2.278 -0.084
Li 0.000 0.000 0.000
Ba 0.879 -3.082 0.657
Li -0.425 -3.784 -2.261
```

Its density of states at the Fermi level is 0.982 states/eV per atom. The value obtained for the total moment is 0.00 μB/cell. The calculation puts the final energy at -7.6 eV per cell. Its energy of formation is 462 meV per atom.

***

Which value of final energy does entry 2 give?
-7.6 eV per cell

***

What is the final energy in the second record?
-7.6 eV per cell

***

energy of formation of number 1 (BaLi2Be)?
289 meV per atom

***

Copy entry 1 word for word.
DFT (GGA-PBE) results for a relaxed BaLi2Be crystal.

extended XYZ file:
```
4
Lattice="-4.212 3.703 3.089 -4.714 -0.766 4.265 -1.218 1.727 6.044" Properties=species:S:1:pos:R:3 pbc="T T T"
Li -3.138 1.443 4.145
Li -0.071 0.033 0.094
Be -6.988 3.213 9.230
Ba -5.018 2.307 6.628
```

Its density of states at the Fermi level is 0.781 states/eV per atom. The value obtained for the total moment is 0.00 μB/cell. The calculation puts the final energy at -8.3 eV per cell. Its energy of formation is 289 meV per atom.